BaCu2AuC | PBEsol | relaxed

a = 4.100 Å, b = 4.100 Å, c = 5.517 Å
α = 90.00°, β = 90.00°, γ = 90.00°
Positions (direct):
Ba: 0.000 0.000 0.000
Cu: 0.000 0.500 0.500
Cu: 0.500 0.000 0.500
Au: 0.500 0.500 0.000
C: 0.000 0.000 0.500

Computed properties:
- energy relative to the elements (eV/atom) = 0.53
- space group = P4/mmm (123)
- DOS at the Fermi energy (states/eV per cell) = 1.75
- calculated volume (Å³/atom) = 18.6